# 1
Dy2MgOs PBE relaxed; DFT formation energy = -0.197 eV per atom; DOS at the Fermi energy = 2.76 states/eV/f.u.; mass density = 9.29 Mg/m³
1.0
3.431 0.000 0.000
0.000 3.431 0.000
0.000 0.000 8.197
Dy Mg Os
2 1 1
direct
0.000 0.000 0.202
0.000 0.000 0.798
0.500 0.500 0.500
0.500 0.500 0.000

# 2
Rb3Cd2SnO6 PBE relaxed; DOS at the Fermi energy = 8.53 states/eV/f.u.; mass density = 5.80 Mg/m³; ΔE_f (raw) = -1231.4 meV/atom
1.0
2.983 -5.198 0.000
2.983 5.198 0.000
-1.957 0.000 6.427
Rb Cd Sn O
3 2 1 6
direct
0.000 0.000 0.000
0.327 0.673 0.000
0.673 0.327 0.000
0.166 0.834 0.500
0.834 0.166 0.500
0.500 0.500 0.500
0.136 0.439 0.322
0.260 0.260 0.683
0.439 0.136 0.322
0.561 0.864 0.678
0.740 0.740 0.317
0.864 0.561 0.678

# 3
Pr2CuIr PBE relaxed; DFT formation energy = -0.472 eV per atom; DOS at the Fermi energy = 2.49 states/eV/f.u.; mass density = 9.26 Mg/m³
1.0
5.802 0.000 0.000
0.000 4.446 0.000
-2.793 0.000 7.477
Pr Cu Ir
4 2 2
direct
0.218 0.250 0.437
0.228 0.250 0.925
0.772 0.750 0.075
0.782 0.750 0.563
0.353 0.750 0.214
0.647 0.250 0.786
0.351 0.750 0.715
0.649 0.250 0.285